# HoAg2I6, optimized geometry, DFT PBE
# Energy relative to the elements, uncorrected: -535 kJ/mol of formula units
data_HoAg2I6
_cell_length_a 14.003
_cell_length_b 4.606
_cell_length_c 11.297
_cell_angle_alpha 90.00
_cell_angle_beta 104.99
_cell_angle_gamma 90.00
_space_group_name_H-M_alt 'C 1 2/m 1'
_space_group_IT_number 12
loop_
_space_group_symop_operation_xyz
'x,y,z'
'-x,-y,-z'
'-x,y,-z'
'x,-y,z'
'x+1/2,y+1/2,z'
'-x+1/2,-y+1/2,-z'
'-x+1/2,y+1/2,-z'
'x+1/2,-y+1/2,z'
loop_
_atom_site_label
_atom_site_type_symbol
_atom_site_fract_x
_atom_site_fract_y
_atom_site_fract_z
_atom_site_occupancy
Ho1 Ho 0.000 0.000 0.000 1
Ag1 Ag 0.216 0.000 0.639 1
I1 I 0.055 0.000 0.767 1
I2 I 0.131 0.500 0.494 1
I3 I 0.148 0.500 0.099 1